VASP calculation (SCAN) on a PBEsol-optimized structure of TaS2Br.

a b c (Å): 3.2814 3.2814 29.6688
angles (deg): 90.00 90.00 120.00
With the nearest neighbours (Å) after each atom.
Space group R-3m (No. 166, hexagonal axes)
One atom of each set of equivalent atoms:
Ta (0.0000, 0.0000, 0.0000) [3 per cell]  6 S 2.45
S (0.0000, 0.0000, 0.3856) [6 per cell]  3 Ta 2.45
Br (0.0000, 0.0000, 0.5000) [3 per cell]  6 Br 3.28, 2 S 3.39

Results
Raw formation energy = -679 meV per atom

***

VASP calculation (SCAN) on a PBEsol-optimized structure of ErB2Ru3.

a b c (Å): 5.4312 5.4312 2.9873
angles (deg): 90.00 90.00 120.00
With the nearest neighbours (Å) after each atom.
Space group P6/mmm (No. 191)
One atom of each set of equivalent atoms:
Er (0.0000, 0.0000, 0.0000) [1 per cell]  2 Er 2.99, 12 Ru 3.10, 6 B 3.14
B (0.3333, 0.6667, 0.0000) [2 per cell]  6 Ru 2.17
Ru (0.0000, 0.5000, 0.5000) [3 per cell]  4 B 2.17

Results
E_form = -558 meV/atom

***

VASP calculation (SCAN) on a PBEsol-optimized structure of Li2P2Rh.

a b c (Å): 5.8629 5.8629 4.0510
angles (deg): 90.00 90.00 90.00
With the nearest neighbours (Å) after each atom.
Space group P4/mbm (No. 127)
One atom of each set of equivalent atoms:
Li (0.1777, 0.3223, 0.0000) [4 per cell]  6 P 2.57-2.73
P (0.1314, 0.6314, 0.5000) [4 per cell]  1 P 2.18, 2 Rh 2.29
Rh (0.0000, 0.0000, 0.5000) [2 per cell]  4 P 2.29

Results
E_form = -869 meV/atom

***

VASP calculation (SCAN) on a PBEsol-optimized structure of CoSb3Ru.

a b c (Å): 4.7364 4.7364 4.7364
angles (deg): 90.00 90.00 90.00
With the nearest neighbours (Å) after each atom.
Space group Pm-3m (No. 221)
One atom of each set of equivalent atoms:
Co (0.0000, 0.0000, 0.0000) [1 per cell]  6 Sb 2.37
Sb (0.0000, 0.0000, 0.5000) [3 per cell]  2 Co 2.37
Ru (0.5000, 0.5000, 0.5000) [1 per cell]  12 Sb 3.35

Results
Raw formation energy = 931 meV per atom

***

VASP calculation (SCAN) on a PBEsol-optimized structure of NaCuGe2.

a b c (Å): 6.4071 6.4071 6.4071
angles (deg): 90.00 90.00 90.00
With the nearest neighbours (Å) after each atom.
Space group Fm-3m (No. 225)
One atom of each set of equivalent atoms:
Na (0.0000, 0.0000, 0.0000) [4 per cell]  8 Ge 2.77
Cu (0.0000, 0.0000, 0.5000) [4 per cell]  8 Ge 2.77
Ge (0.2500, 0.2500, 0.2500) [8 per cell]  4 Na 2.77, 4 Cu 2.77

Results
E_form = 184 meV/atom

***

VASP calculation (SCAN) on a PBEsol-optimized structure of LiCoPb.

a b c (Å): 6.0236 6.0236 6.0236
angles (deg): 90.00 90.00 90.00
With the nearest neighbours (Å) after each atom.
Space group F-43m (No. 216)
One atom of each set of equivalent atoms:
Li (0.0000, 0.0000, 0.0000) [4 per cell]  4 Pb 2.61
Co (0.0000, 0.0000, 0.5000) [4 per cell]  4 Pb 2.61
Pb (0.2500, 0.2500, 0.2500) [4 per cell]  4 Li 2.61, 4 Co 2.61

Results
E_form = 343 meV/atom

***

VASP calculation (SCAN) on a PBEsol-optimized structure of ZnFeAs2Br.

a b c (Å): 4.4154 4.4154 5.1937
angles (deg): 90.00 90.00 90.00
With the nearest neighbours (Å) after each atom.
Space group P4/mmm (No. 123)
One atom of each set of equivalent atoms:
Zn (0.0000, 0.0000, 0.0000) [1 per cell]  4 Br 3.12, 8 As 3.41
Fe (0.5000, 0.5000, 0.5000) [1 per cell]  4 As 2.21
As (0.0000, 0.5000, 0.5000) [2 per cell]  2 Fe 2.21
Br (0.5000, 0.5000, 0.0000) [1 per cell]  2 Fe 2.60

Results
Raw formation energy = 453 meV per atom

***

VASP calculation (SCAN) on a PBEsol-optimized structure of BaTa2As.

a b c (Å): 3.1762 5.8564 10.1923
angles (deg): 90.00 90.00 90.00
With the nearest neighbours (Å) after each atom.
Space group Imm2 (No. 44)
One atom of each set of equivalent atoms:
Ba (0.0000, 0.0000, 0.0000) [2 per cell]  2 Ba 3.18, 2 As 3.26, 8 Ta 3.33-3.54
Ta (0.0000, 0.0000, 0.4858) [2 per cell]  2 As 2.64, 2 Ta 2.66
Ta (0.0000, 0.5000, 0.1958) [2 per cell]  2 Ta 2.66
As (0.0000, 0.5000, 0.7790) [2 per cell]  2 Ta 2.64

Results
E_form = 748 meV/atom

***

VASP calculation (SCAN) on a PBEsol-optimized structure of Na2CrAs2.

a b c (Å): 6.4372 6.4372 4.8714
angles (deg): 90.00 90.00 90.00
With the nearest neighbours (Å) after each atom.
Space group P4/mbm (No. 127)
One atom of each set of equivalent atoms:
Na (0.1722, 0.3278, 0.0000) [4 per cell]  6 As 2.98-3.16, 1 Na 3.13
Cr (0.0000, 0.0000, 0.5000) [2 per cell]  4 As 2.49
As (0.1385, 0.6385, 0.5000) [4 per cell]  2 Cr 2.49, 1 As 2.52

Results
E_form = -434 meV/atom
Energy above the most stable polymorph in this dataset = 0.0 meV/atom

***

VASP calculation (SCAN) on a PBEsol-optimized structure of Ca5Zn.

a b c (Å): 3.7485 3.7485 14.7459
angles (deg): 90.00 90.00 90.00
With the nearest neighbours (Å) after each atom.
Space group P4/mmm (No. 123)
One atom of each set of equivalent atoms:
Ca (0.0000, 0.0000, 0.0000) [1 per cell]  12 Ca 3.75-3.87
Ca (0.0000, 0.0000, 0.3837) [2 per cell]  4 Zn 3.16, 1 Ca 3.43
Ca (0.5000, 0.5000, 0.1910) [2 per cell]  12 Ca 3.75-3.89
Zn (0.5000, 0.5000, 0.5000) [1 per cell]  8 Ca 3.16

Results
E_form = -84 meV/atom

***

VASP calculation (SCAN) on a PBEsol-optimized structure of LaSbBr2.

a b c (Å): 4.8252 4.8252 20.5142
angles (deg): 90.00 90.00 90.00
With the nearest neighbours (Å) after each atom.
Space group I-42d (No. 122)
One atom of each set of equivalent atoms:
La (0.0000, 0.0000, 0.0000) [4 per cell]  4 Br 3.07, 4 Sb 3.41
Sb (0.0000, 0.0000, 0.5000) [4 per cell]  4 Br 3.09, 4 La 3.41
Br (0.2424, 0.2500, 0.1250) [8 per cell]  2 La 3.07, 2 Sb 3.09, 2 Br 3.36

Results
Raw formation energy = -1158 meV per atom

***

VASP calculation (SCAN) on a PBEsol-optimized structure of Tl5SnF9.

a b c (Å): 7.9521 10.9369 6.7043
angles (deg): 90.00 90.00 90.00
With the nearest neighbours (Å) after each atom.
Space group Pmc2_1 (No. 26)
One atom of each set of equivalent atoms:
Tl (0.0000, 0.2279, 0.0000) [2 per cell]  4 F 2.67-2.73
Tl (0.2279, 0.0850, 0.5132) [4 per cell]  4 F 2.62-2.80
Tl (0.2278, 0.4254, 0.6082) [4 per cell]  4 F 2.59-2.85
Sn (0.5000, 0.2507, 0.0637) [2 per cell]  6 F 1.98-2.00
F (0.0000, 0.0049, 0.2628) [2 per cell]  4 Tl 2.62-2.66
F (0.0000, 0.2515, 0.5987) [2 per cell]  5 Tl 2.63-2.70
F (0.0000, 0.4637, 0.8990) [2 per cell]  5 Tl 2.59-2.69
F (0.3168, 0.3035, 0.2480) [4 per cell]  1 Sn 2.00
F (0.3227, 0.1968, 0.8710) [4 per cell]  1 Sn 2.00
F (0.5000, 0.0862, 0.1884) [2 per cell]  1 Sn 1.98
F (0.5000, 0.4147, 0.9360) [2 per cell]  1 Sn 1.99

Results
Raw formation energy = -2139 meV per atom

***

VASP calculation (SCAN) on a PBEsol-optimized structure of Na2In.

a b c (Å): 8.6785 13.6575 11.5551
angles (deg): 90.00 90.00 90.00
With the nearest neighbours (Å) after each atom.
Space group C222_1 (No. 20)
One atom of each set of equivalent atoms:
Na (0.0000, 0.0672, 0.2500) [4 per cell]  4 In 3.27-3.37, 6 Na 3.33-3.48
Na (0.0861, 0.1361, 0.5821) [8 per cell]  3 In 3.27-3.41, 6 Na 3.46-3.59
Na (0.0933, 0.5000, 0.0000) [4 per cell]  6 Na 3.26-3.48, 6 In 3.26-3.55
Na (0.1944, 0.3014, 0.8297) [8 per cell]  5 In 3.32-3.65, 6 Na 3.33-3.59
Na (0.2241, 0.3776, 0.5420) [8 per cell]  4 In 3.15-3.25, 5 Na 3.26-3.49
In (0.0446, 0.2870, 0.1223) [8 per cell]  3 In 3.05-3.14, 7 Na 3.15-3.41
In (0.1748, 0.4486, 0.2762) [8 per cell]  3 In 3.05-3.14, 5 Na 3.20-3.34

Results
E_form = -189 meV/atom

***

VASP calculation (SCAN) on a PBEsol-optimized structure of Sr2LaAsC.

a b c (Å): 5.2047 5.2047 4.9585
angles (deg): 90.00 90.00 90.00
With the nearest neighbours (Å) after each atom.
Space group P4/mmm (No. 123)
One atom of each set of equivalent atoms:
Sr (0.0000, 0.5000, 0.0000) [2 per cell]  2 C 2.60
La (0.0000, 0.0000, 0.5000) [1 per cell]  2 C 2.48
As (0.5000, 0.5000, 0.5000) [1 per cell]  8 Sr 3.59, 4 La 3.68
C (0.0000, 0.0000, 0.0000) [1 per cell]  2 La 2.48, 4 Sr 2.60

Results
E_form = -441 meV/atom

***

VASP calculation (SCAN) on a PBEsol-optimized structure of KLi2Tc.

a b c (Å): 7.0176 7.0176 7.0176
angles (deg): 90.00 90.00 90.00
With the nearest neighbours (Å) after each atom.
Space group Fm-3m (No. 225)
One atom of each set of equivalent atoms:
K (0.0000, 0.0000, 0.0000) [4 per cell]  8 Li 3.04
Li (0.2500, 0.2500, 0.2500) [8 per cell]  4 K 3.04, 4 Tc 3.04
Tc (0.0000, 0.0000, 0.5000) [4 per cell]  8 Li 3.04

Results
E_form = 984 meV/atom
Energy above the most stable polymorph in this dataset = 236.8 meV/atom

***

VASP calculation (SCAN) on a PBEsol-optimized structure of SnAsPSe2.

a b c (Å): 4.7948 4.7948 4.8068
angles (deg): 90.00 90.00 90.00
With the nearest neighbours (Å) after each atom.
Space group P4/mmm (No. 123)
One atom of each set of equivalent atoms:
Sn (0.0000, 0.0000, 0.0000) [1 per cell]  4 As 3.39, 8 Se 3.39
As (0.5000, 0.5000, 0.0000) [1 per cell]  2 P 2.40
P (0.5000, 0.5000, 0.5000) [1 per cell]  4 Se 2.40, 2 As 2.40
Se (0.0000, 0.5000, 0.5000) [2 per cell]  2 P 2.40

Results
Raw formation energy = 414 meV per atom
Energy above the most stable polymorph in this dataset = 0.0 meV/atom

***

VASP calculation (SCAN) on a PBEsol-optimized structure of Hf2ZrPH.

a b c (Å): 5.0944 5.0944 4.7864
angles (deg): 90.00 90.00 90.00
With the nearest neighbours (Å) after each atom.
Space group P4/mmm (No. 123)
One atom of each set of equivalent atoms:
Hf (0.0000, 0.5000, 0.0000) [2 per cell]  2 Zr 2.55
Zr (0.0000, 0.0000, 0.0000) [1 per cell]  2 P 2.39, 4 Hf 2.55
P (0.0000, 0.0000, 0.5000) [1 per cell]  2 Zr 2.39
H (0.5000, 0.5000, 0.5000) [1 per cell]  8 Hf 3.50, 4 P 3.60

***

VASP calculation (SCAN) on a PBEsol-optimized structure of InFe2Cu.

a b c (Å): 2.7547 2.7547 25.4004
angles (deg): 90.00 90.00 120.00
With the nearest neighbours (Å) after each atom.
Space group R-3m (No. 166, hexagonal axes)
One atom of each set of equivalent atoms:
In (0.0000, 0.0000, 0.0000) [3 per cell]  6 In 2.75, 6 Fe 2.77
Fe (0.0000, 0.0000, 0.2440) [6 per cell]  3 Cu 2.53, 6 Fe 2.75, 3 In 2.77
Cu (0.0000, 0.0000, 0.5000) [3 per cell]  6 Fe 2.53, 6 Cu 2.75

Results
E_form = 416 meV/atom

***

VASP calculation (SCAN) on a PBEsol-optimized structure of La4In5S13.

a b c (Å): 11.7968 21.4440 3.9909
angles (deg): 90.00 90.00 90.00
With the nearest neighbours (Å) after each atom.
Space group Pbam (No. 55)
One atom of each set of equivalent atoms:
La (0.0204, 0.1672, 0.0000) [4 per cell]  7 S 2.88-3.06
La (0.1653, 0.3441, 0.0000) [4 per cell]  8 S 2.88-3.12
In (0.0000, 0.5000, 0.0000) [2 per cell]  2 S 2.45
In (0.1489, 0.6714, 0.5000) [4 per cell]  4 S 2.48-2.52
In (0.1550, 0.9924, 0.5000) [4 per cell]  6 S 2.58-2.71
S (0.0000, 0.0000, 0.0000) [2 per cell]  4 In 2.71
S (0.0021, 0.4107, 0.5000) [4 per cell]  3 In 2.50-2.77
S (0.0739, 0.2614, 0.5000) [4 per cell]  4 La 2.88-2.91, 1 In 3.00
S (0.1535, 0.8674, 0.5000) [4 per cell]  1 In 2.68, 4 La 2.96-2.97
S (0.1663, 0.1124, 0.5000) [4 per cell]  2 In 2.52-2.58
S (0.1741, 0.7383, 0.0000) [4 per cell]  2 In 2.48
S (0.2042, 0.4799, 0.0000) [4 per cell]  3 In 2.45-2.61

Results
Raw formation energy = -1501 meV per atom

***

VASP calculation (SCAN) on a PBEsol-optimized structure of ZnAg2C4S4N4.

a b c (Å): 19.4483 7.7876 7.9573
angles (deg): 90.00 95.12 90.00
With the nearest neighbours (Å) after each atom.
Space group C2/c (No. 15)
One atom of each set of equivalent atoms:
Zn (0.0000, 0.1631, 0.2500) [4 per cell]  4 N 1.93-1.94
Ag (0.2008, 0.4127, 0.7638) [8 per cell]  4 S 2.50-2.58
C (0.0810, 0.4313, 0.4635) [8 per cell]  1 N 1.18
C (0.1307, 0.0366, 0.6711) [8 per cell]  1 N 1.18
S (0.1335, 0.4135, 0.0266) [8 per cell]  1 C 1.63
S (0.2055, 0.1196, 0.6357) [8 per cell]  1 C 1.64
N (0.0426, 0.3200, 0.4184) [8 per cell]  1 C 1.18
N (0.0767, 0.0244, 0.1905) [8 per cell]  1 C 1.18

Results
Raw formation energy = 95 meV per atom

***

E across the listed records, respectively: -27.003 -28.837 -12.739 -31.852 -14.214 -31.482 -17.844 -47.479 -13.873 -10.390 -30.979 -30.777 -14.127 -24.030 -11.059 -20.920 -32.531 -20.795 -22.615 -12.727 eV per atom.